CoReSi2, relaxed, DFT PBE; E above lowest polymorph = 1.08 eV/f.u.; E = -30.5 eV per formula unit; formation energy from raw total energies = -7.4 kJ/mol of formula units
1.0
-2.623 0.030 0.883
1.604 -1.918 1.189
1.845 4.842 5.320
Re Co Si
1 1 2
Cartesian
0.874 2.687 5.026
-0.048 0.266 2.366
0.034 0.089 0.098
0.889 2.332 2.562

Pm2PuGa, relaxed, DFT PBE; E above lowest polymorph = 0.42 eV/f.u.; energy of formation = -0.22 eV per formula unit; E = -27.1 eV per formula unit
1.0
3.635 0.000 0.000
1.818 3.148 0.000
1.818 1.049 10.325
Pm Pu Ga
2 1 1
Cartesian
5.453 3.148 7.428
1.818 1.049 2.897
0.000 0.000 0.000
3.635 2.099 5.163

Nd2Dy5Tm5, relaxed, DFT PBE; energy of formation = 0.28 eV per formula unit; E = -54.6 eV per formula unit
1.0
-1.204 3.515 3.353
-6.089 4.193 -2.847
-8.843 -3.779 4.521
Nd Tm Dy
2 5 5
Cartesian
-5.871 1.785 -0.244
-10.265 2.145 5.271
-11.513 1.195 2.083
0.000 0.000 0.000
-4.623 2.734 2.944
-10.517 4.540 2.670
-5.619 -0.611 2.358
-8.068 1.965 2.514
-8.314 4.368 -0.094
-7.823 -0.438 5.121
-4.869 5.140 0.334
-11.268 -1.210 4.693

Hg7Ru, relaxed, DFT PBE; energy of formation = 2.63 eV per formula unit; E = -8.8 eV per formula unit
1.0
-0.272 -5.541 -2.948
0.213 -5.334 3.312
-5.134 -3.584 0.516
Hg Ru
7 1
Cartesian
-0.030 -5.437 0.182
-0.136 -2.771 -1.474
-2.703 -4.562 -1.216
-2.567 -1.792 0.258
-2.597 -7.229 0.440
-2.461 -4.459 1.914
0.106 -2.667 1.656
0.000 0.000 0.000

K2CrCo, relaxed, DFT PBE; E above lowest polymorph = 0.66 eV/f.u.; energy of formation = 3.78 eV per formula unit; E = -15.1 eV per formula unit
1.0
6.399 0.009 0.004
2.370 5.944 -0.004
-3.648 -4.062 3.338
K Cr Co
2 1 1
Cartesian
0.224 0.152 0.000
3.286 -0.730 1.671
2.253 2.903 1.667
3.743 2.541 0.000

Cs2SrMg, relaxed, DFT PBE; energy of formation = 1.28 eV per formula unit; E = -3.7 eV per formula unit
1.0
-6.383 6.383 3.700
6.383 -6.383 3.700
6.383 6.383 -3.700
Cs Sr Mg
4 2 2
Cartesian
4.333 3.191 -0.925
2.050 3.191 2.775
3.191 -2.050 4.624
3.191 8.432 0.925
6.383 0.000 1.850
0.000 0.000 0.000
0.000 0.000 3.700
0.000 6.383 1.850

TiV4Ru, relaxed, DFT PBE; energy of formation = -0.44 eV per formula unit; E = -54.1 eV per formula unit
1.0
-0.830 -1.561 4.603
-3.063 -3.779 0.807
1.787 -4.347 1.489
V Ru Ti
4 1 1
Cartesian
-0.901 -5.274 2.011
0.215 -4.165 3.909
-1.316 -6.054 4.313
-2.210 -3.881 3.568
-0.526 -2.422 1.725
0.000 0.000 0.000

UAgI4, relaxed, DFT PBE; E = -23.6 eV per formula unit; formation energy from raw total energies = -315.2 kJ/mol of formula units
1.0
-3.260 2.767 6.638
-6.228 -4.349 2.155
5.234 -5.156 4.722
Ag I U
2 8 2
Cartesian
0.665 -1.100 10.179
-4.919 -5.637 3.336
-1.211 -1.426 7.863
1.363 -4.296 5.835
-1.226 -1.651 3.516
-3.043 -5.311 5.651
-0.198 -7.851 7.801
-4.056 1.113 5.714
-3.028 -5.086 9.998
-5.617 -2.442 7.679
-3.114 -2.174 1.077
0.987 -1.194 5.680

Ta2NbAgH, relaxed, DFT PBE; E = -39.3 eV per formula unit
1.0
-0.696 4.256 0.059
-3.943 -0.623 -1.633
-1.475 -0.292 3.674
H Ta Nb Ag
1 2 1 1
Cartesian
0.000 0.000 0.000
-0.348 2.128 0.029
-1.972 -0.311 -0.816
-0.738 -0.146 1.837
-3.057 1.671 1.050

Zr2Si2Br, relaxed, DFT PBE; E = -32.5 eV per formula unit; formation energy from raw total energies = -276.8 kJ/mol of formula units
1.0
7.516 0.000 0.000
0.000 7.516 0.000
0.000 0.000 3.508
Zr Si Br
4 4 2
Cartesian
2.445 6.203 0.000
5.071 1.313 0.000
6.203 5.071 0.000
1.313 2.445 0.000
6.662 2.904 1.754
2.904 0.854 1.754
4.612 6.662 1.754
0.854 4.612 1.754
0.000 0.000 0.000
3.758 3.758 0.000

BaMg3Zn, relaxed, DFT PBE; E above lowest polymorph = 0.36 eV/f.u.; energy of formation = -0.01 eV per formula unit; E = -8.0 eV per formula unit
1.0
-5.041 0.015 -1.464
1.453 -0.618 -5.007
-0.187 -5.213 0.589
Mg Ba Zn
3 1 1
Cartesian
-0.093 -2.607 0.294
0.726 -0.309 -2.503
-2.521 0.008 -0.732
-1.888 -2.908 -2.941
0.000 0.000 0.000

CePrY4, relaxed, DFT PBE; energy of formation = 0.32 eV per formula unit; E = -36.3 eV per formula unit
1.0
-1.994 2.625 1.413
-6.262 -1.559 -5.944
-2.654 -4.105 3.883
Y Pr Ce
4 1 1
Cartesian
-5.935 -3.785 -1.343
-5.619 -0.402 -2.630
-5.292 -2.636 1.982
-4.976 0.746 0.695
-2.324 -0.740 2.648
0.000 0.000 0.000

TlH3I, relaxed, DFT PBE; E above lowest polymorph = 3.51 eV/f.u.; E = -10.1 eV per formula unit
1.0
4.381 0.000 0.000
0.000 4.381 0.000
0.000 0.000 4.381
H I Tl
3 1 1
Cartesian
0.000 0.000 2.191
0.000 2.191 0.000
2.191 0.000 0.000
0.000 0.000 0.000
2.191 2.191 2.191

La2InNi12P3, relaxed, DFT PBE; energy of formation = -1.38 eV per formula unit; E = -99.6 eV per formula unit
1.0
7.290 -0.169 -0.120
3.453 6.422 -0.120
3.453 2.010 6.101
Ni P La In
12 3 2 1
Cartesian
10.681 4.181 5.123
8.892 2.699 1.914
6.738 3.922 5.406
3.516 4.083 0.738
5.304 5.564 3.947
3.516 2.047 3.609
6.738 6.399 1.914
7.458 1.864 3.947
8.910 7.223 5.123
10.681 6.217 2.252
7.458 4.341 0.455
5.286 1.041 0.738
3.645 -0.084 -0.060
1.727 3.211 -0.060
1.727 1.005 3.050
8.620 5.018 3.559
5.576 3.246 2.302
0.000 0.000 0.000

CaZn4Ag, relaxed, DFT PBE; E above lowest polymorph = 0.22 eV/f.u.; energy of formation = -0.80 eV per formula unit; E = -10.7 eV per formula unit
1.0
-2.683 3.242 0.121
-4.954 -4.024 -2.010
-0.403 -3.355 7.711
Ag Zn Ca
2 8 2
Cartesian
-4.535 -3.833 2.143
-3.505 -0.304 3.678
-1.342 1.621 0.061
-3.359 -2.943 4.364
-1.474 -1.411 5.129
-4.084 -0.880 6.259
-3.818 -0.391 -0.944
-3.956 -3.257 -0.437
-6.565 -2.726 0.693
-4.681 -1.194 1.458
-1.652 -1.417 1.338
-6.388 -2.720 4.484

Zr6HPt2, relaxed, DFT PBE; E = -71.5 eV per formula unit
1.0
-2.298 3.233 -4.349
-4.944 1.428 3.674
4.617 7.509 3.294
Zr Pt H
12 4 2
Cartesian
0.059 7.490 2.943
-2.907 7.890 0.577
-1.101 10.978 1.952
-5.567 5.978 0.733
-1.524 1.192 0.666
-2.679 5.728 2.791
2.942 6.191 1.886
0.282 4.279 2.041
-2.684 4.680 -0.324
1.991 9.491 1.105
0.053 6.442 -0.172
-4.616 2.678 1.514
-0.280 3.316 -0.446
-0.485 9.081 0.040
-2.141 3.089 2.579
-2.346 8.854 3.065
2.308 3.754 1.647
-3.621 2.331 -0.338

Y2NiH8, relaxed, DFT PBE; E = -48.9 eV per formula unit
1.0
3.694 0.000 0.000
0.000 4.205 -0.136
-1.847 -1.903 6.143
H Y Ni
8 2 1
Cartesian
1.847 3.265 1.139
1.847 1.314 6.038
0.000 0.988 -0.031
0.000 0.094 2.849
1.847 1.030 1.206
1.847 2.208 3.157
0.000 1.273 4.801
0.000 -0.963 4.868
0.000 2.160 1.704
1.847 0.143 4.303
1.847 0.000 0.000

SrInC2S, relaxed, DFT PBE; E = -17.9 eV per formula unit; formation energy from raw total energies = 882.2 kJ/mol of formula units
1.0
-1.615 -3.663 1.684
3.152 -2.278 -1.933
3.176 0.636 4.429
Sr C In S
1 2 1 1
Cartesian
1.588 0.318 2.215
-0.808 -1.831 0.842
1.576 -1.139 -0.966
2.356 -2.653 2.090
0.000 0.000 0.000

AcLaBiSb, relaxed, DFT PBE; E above lowest polymorph = 0.45 eV/f.u.; E = -20.1 eV per formula unit; formation energy from raw total energies = -298.2 kJ/mol of formula units
1.0
5.623 0.000 0.000
2.812 4.870 0.000
2.812 1.623 12.665
Sb La Ac Bi
2 2 2 2
Cartesian
8.435 4.870 4.374
2.812 1.623 8.291
5.623 3.247 10.890
5.623 3.247 1.775
2.812 1.623 4.790
8.435 4.870 7.875
8.435 4.870 11.251
2.812 1.623 1.414

AcPdPbAu, relaxed, DFT PBE; energy of formation = -2.42 eV per formula unit; E = -18.7 eV per formula unit
1.0
5.016 0.000 0.000
-2.508 4.299 -0.007
0.000 -2.861 4.835
Ac Au Pd Pb
1 1 1 1
Cartesian
2.508 -0.396 2.369
0.000 1.027 3.844
2.508 2.450 0.518
0.000 1.029 0.351

Na3TiAs, relaxed, DFT PBE; E above lowest polymorph = 2.28 eV/f.u.; energy of formation = 5.81 eV per formula unit; E = -10.7 eV per formula unit
1.0
5.647 0.000 0.000
0.000 5.647 0.000
0.000 0.000 5.647
As Na Ti
1 3 1
Cartesian
2.824 2.824 2.824
2.824 0.000 0.000
0.000 2.824 0.000
0.000 0.000 2.824
0.000 0.000 0.000

Sc2CrS, relaxed, DFT PBE; E = -27.3 eV per formula unit; formation energy from raw total energies = -84.9 kJ/mol of formula units
1.0
7.437 0.000 0.000
0.000 7.437 0.000
3.718 3.718 2.890
Cr S Sc
2 2 4
Cartesian
0.000 0.000 0.000
7.437 3.718 1.445
3.718 7.437 1.445
3.718 3.718 0.000
5.211 1.859 0.723
2.226 5.578 0.723
5.578 5.945 2.168
9.296 8.929 2.168

NaCa2ZrI, relaxed, DFT PBE; E = -11.9 eV per formula unit; formation energy from raw total energies = 340.3 kJ/mol of formula units
1.0
6.006 0.000 0.000
0.000 5.512 0.000
0.000 0.000 6.006
Ca Zr I Na
2 1 1 1
Cartesian
0.000 0.000 3.003
3.003 0.000 0.000
0.000 2.756 0.000
3.003 2.756 3.003
0.000 0.000 0.000

CaGa2NiPt4, relaxed, DFT PBE; energy of formation = -4.48 eV per formula unit; E = -42.5 eV per formula unit
1.0
-3.344 -2.716 0.179
0.681 -4.227 0.503
-1.209 -1.362 8.660
Ga Ca Pt Ni
2 1 4 1
Cartesian
-0.977 -2.049 2.580
-2.894 -6.257 6.763
0.000 0.000 0.000
-2.789 -6.567 4.013
-1.842 -4.431 2.208
-2.029 -3.875 7.135
-1.082 -1.738 5.330
-1.936 -4.153 4.671